No. 1
LiTb3Er2Se6 (PBE, relaxed); N(E_F) = 0.410 states/eV per atom; crystal system = monoclinic; total moment = 0.000 Bohr magnetons per cell; uncorrected formation energy = -1.75 eV per atom; DFT total energy = -5.565 eV per atom
1.0
-4.893 -4.958 -0.670
5.859 -0.310 -3.814
2.607 -1.771 6.299
Er Tb Se Li
2 3 6 1
Cartesian
-1.294 -3.403 -1.722 Er
2.261 -1.866 -2.762 Er
1.787 -3.520 0.908 Tb
5.370 -1.971 -0.140 Tb
-1.796 -5.069 1.955 Tb
2.612 -0.946 -0.085 Se
-0.890 -2.460 0.939 Se
2.222 -2.636 3.702 Se
0.962 -6.093 1.900 Se
4.464 -4.579 0.876 Se
1.352 -4.404 -1.887 Se
0.000 0.000 0.000 Li

=====

No. 2
SrC2Br (PBE, relaxed); N(E_F) = 0.842 states/eV per atom; crystal system = cubic; total moment = 0.000 Bohr magnetons per cell; uncorrected formation energy = 2.13 eV per atom; DFT total energy = -3.321 eV per atom
1.0
0.000 3.271 3.271
3.271 0.000 3.271
3.271 3.271 0.000
C Sr Br
2 1 1
Cartesian
4.906 4.906 4.906 C
1.635 1.635 1.635 C
3.271 3.271 3.271 Sr
0.000 0.000 0.000 Br

=====

No. 3
Pm5NdCu6 (PBE, relaxed); N(E_F) = 0.694 states/eV per atom; crystal system = triclinic; total moment = 0.000 Bohr magnetons per cell; DFT total energy = -4.584 eV per atom
1.0
-0.839 2.779 -4.165
-6.992 -0.794 0.878
-4.100 7.299 2.579
Pm Cu Nd
5 6 1
Cartesian
-7.473 2.693 0.199 Pm
-3.496 -0.397 0.439 Pm
-7.955 6.184 -0.474 Pm
-4.458 6.591 -0.906 Pm
-3.976 3.099 -0.234 Pm
-9.270 4.587 1.820 Cu
-5.803 4.976 1.384 Cu
-6.128 4.307 -2.092 Cu
-5.637 0.803 -1.424 Cu
-6.295 8.480 0.717 Cu
-2.661 4.696 -2.528 Cu
0.000 0.000 0.000 Nd